1.
# V3CrW2

A geometry-optimized V3CrW2 structure (PBE, Alexandria via LeMat-Bulk).

M_tot = 0.000 μB per atom
D(E_F) = 1.183 states/eV/atom
Energy of formation from the pure elements = -0.04 eV/atom
E above lowest polymorph = 0.000 eV/atom

Unit cell a=4.324 b=12.722 c=3.059 alpha=90.00 beta=90.00 gamma=90.00
Space group Cmmm (No. 65)
Unique sites:
V 0.000 0.000 0.000
V 0.000 0.339 0.000
Cr 0.000 0.500 0.500
W 0.000 0.165 0.500

---

2.
# V5CrW

A geometry-optimized V5CrW structure (PBE, Alexandria via LeMat-Bulk).

M_tot = 0.000 μB per atom
D(E_F) = 1.203 states/eV/atom
Energy of formation from the pure elements = 0.45 eV/atom
E above lowest polymorph = 0.106 eV/atom

Unit cell a=3.427 b=3.427 c=8.607 alpha=90.00 beta=90.00 gamma=90.00
Space group P4/mmm (No. 123)
Unique sites:
V 0.000 0.000 0.000
V 0.000 0.500 0.259
Cr 0.500 0.500 0.000
W 0.000 0.000 0.500

---

3.
# VCr4W

A geometry-optimized VCr4W structure (PBE, Alexandria via LeMat-Bulk).

M_tot = 0.000 μB per atom
D(E_F) = 1.399 states/eV/atom
Energy of formation from the pure elements = 0.04 eV/atom
E above lowest polymorph = 0.000 eV/atom

Unit cell a=6.762 b=6.762 c=6.762 alpha=90.00 beta=90.00 gamma=90.00
Space group F-43m (No. 216)
Unique sites:
V 0.000 0.000 0.000
Cr 0.125 0.125 0.625
W 0.250 0.250 0.250

---

4.
# V7Cr2W2

A geometry-optimized V7Cr2W2 structure (PBE, Alexandria via LeMat-Bulk).

M_tot = 0.000 μB per atom
D(E_F) = 1.210 states/eV/atom
Energy of formation from the pure elements = 0.29 eV/atom
E above lowest polymorph = 0.218 eV/atom

Unit cell a=5.127 b=8.606 c=7.150 alpha=90.00 beta=93.75 gamma=90.00
Space group C2/m (No. 12)
Unique sites:
V 0.000 0.000 0.000
V 0.180 0.321 0.147
V 0.246 0.000 0.272
Cr 0.246 0.500 0.394
W 0.000 0.251 0.500

---

5.
# V3Cr2W8

A geometry-optimized V3Cr2W8 structure (PBE, Alexandria via LeMat-Bulk).

M_tot = 0.000 μB per atom
D(E_F) = 0.847 states/eV/atom
Energy of formation from the pure elements = 0.60 eV/atom

Unit cell a=8.474 b=11.820 c=4.240 alpha=90.00 beta=90.00 gamma=90.00
Space group Cmmm (No. 65)
Unique sites:
V 0.000 0.000 0.000
V 0.250 0.000 0.500
Cr 0.000 0.250 0.000
W 0.000 0.132 0.500
W 0.000 0.376 0.500
W 0.241 0.371 0.000

---

6.
# V2CrW4

A geometry-optimized V2CrW4 structure (PBE, Alexandria via LeMat-Bulk).

M_tot = 0.000 μB per atom
D(E_F) = 0.889 states/eV/atom
Energy of formation from the pure elements = 0.16 eV/atom
E above lowest polymorph = 0.000 eV/atom

Unit cell a=2.658 b=6.758 c=6.834 alpha=117.90 beta=97.18 gamma=96.73
Space group P-1 (No. 2)
Unique sites:
V 0.048 0.288 0.429
Cr 0.000 0.000 0.000
W 0.236 0.860 0.286
W 0.391 0.424 0.149

---

7.
# VCr4W5

A geometry-optimized VCr4W5 structure (PBE, Alexandria via LeMat-Bulk).

M_tot = 0.000 μB per atom
D(E_F) = 0.574 states/eV/atom
Energy of formation from the pure elements = 0.00 eV/atom

Unit cell a=3.039 b=3.039 c=15.234 alpha=90.00 beta=90.00 gamma=90.00
Space group P4/mmm (No. 123)
Unique sites:
V 0.000 0.000 0.000
Cr 0.000 0.000 0.202
Cr 0.000 0.000 0.401
W 0.500 0.500 0.103
W 0.500 0.500 0.301
W 0.500 0.500 0.500

---

8.
# V3Cr2W3

A geometry-optimized V3Cr2W3 structure (PBE, Alexandria via LeMat-Bulk).

M_tot = 0.000 μB per atom
D(E_F) = 0.509 states/eV/atom
Energy of formation from the pure elements = -0.06 eV/atom

Unit cell a=12.881 b=4.275 c=4.325 alpha=90.00 beta=109.52 gamma=90.00
Space group C2/m (No. 12)
Unique sites:
V 0.000 0.000 0.000
V 0.128 0.000 0.628
Cr 0.249 0.000 0.249
W 0.000 0.500 0.500
W 0.130 0.500 0.130

---

9.
# VCr5W4

A geometry-optimized VCr5W4 structure (PBE, Alexandria via LeMat-Bulk).

M_tot = 0.000 μB per atom
D(E_F) = 0.692 states/eV/atom
Energy of formation from the pure elements = -0.01 eV/atom

Unit cell a=3.012 b=3.012 c=15.034 alpha=90.00 beta=90.00 gamma=90.00
Space group P4/mmm (No. 123)
Unique sites:
V 0.000 0.000 0.000
Cr 0.500 0.500 0.096
Cr 0.500 0.500 0.298
Cr 0.500 0.500 0.500
W 0.000 0.000 0.196
W 0.000 0.000 0.399

---

10.
# VCrW3

A geometry-optimized VCrW3 structure (PBE, Alexandria via LeMat-Bulk).

M_tot = 0.671 μB per atom
D(E_F) = 1.239 states/eV/atom
Energy of formation from the pure elements = 1.74 eV/atom
E above lowest polymorph = 1.440 eV/atom

Unit cell a=4.525 b=4.525 c=4.525 alpha=90.00 beta=90.00 gamma=90.00
Space group Pm-3m (No. 221)
Unique sites:
V 0.000 0.000 0.000
Cr 0.500 0.500 0.500
W 0.000 0.000 0.500

---

11.
# V4CrW2

A geometry-optimized V4CrW2 structure (PBE, Alexandria via LeMat-Bulk).

M_tot = 0.000 μB per atom
D(E_F) = 1.242 states/eV/atom
Energy of formation from the pure elements = 0.12 eV/atom

Unit cell a=2.599 b=6.667 c=6.737 alpha=117.70 beta=98.39 gamma=96.90
Space group P-1 (No. 2)
Unique sites:
V 0.114 0.364 0.074
V 0.242 0.224 0.646
Cr 0.500 0.500 0.500
W 0.472 0.074 0.220

---

12.
# V3CrW2

A geometry-optimized V3CrW2 structure (PBE, Alexandria via LeMat-Bulk).

M_tot = 0.000 μB per atom
D(E_F) = 0.997 states/eV/atom
Energy of formation from the pure elements = 0.05 eV/atom
E above lowest polymorph = 0.090 eV/atom

Unit cell a=2.639 b=7.533 c=8.585 alpha=90.11 beta=90.06 gamma=91.48
Space group P-1 (No. 2)
Unique sites:
V 0.000 0.000 0.000
V 0.179 0.342 0.500
V 0.195 0.346 0.000
V 0.500 0.000 0.500
Cr 0.500 0.500 0.253
W 0.207 0.825 0.251
W 0.207 0.825 0.749